A plane-wave DFT calculation with GGA+U was carried out for NaCeMo2O8 after structural relaxation.

Structure (CIF):
```
data_NaCeMo2O8
_cell_length_a 6.9585
_cell_length_b 6.9585
_cell_length_c 6.9585
_cell_angle_alpha 134.73
_cell_angle_beta 134.73
_cell_angle_gamma 65.95
_symmetry_space_group_name_H-M 'P 1'
_symmetry_Int_Tables_number 1
loop_
_symmetry_equiv_pos_as_xyz
'x,y,z'
loop_
_atom_site_label
_atom_site_type_symbol
_atom_site_fract_x
_atom_site_fract_y
_atom_site_fract_z
_atom_site_occupancy
Na1 Na 0.0000 0.0000 0.0000 1
Ce1 Ce 0.7500 0.2500 0.5000 1
Mo1 Mo 0.2500 0.7500 0.5000 1
Mo2 Mo 0.5000 0.5000 0.0000 1
O1 O 0.0131 0.4256 0.1000 1
O2 O 0.0868 0.9869 0.4125 1
O3 O 0.1727 0.5555 0.9025 1
O4 O 0.3257 0.9132 0.9000 1
O5 O 0.4445 0.3470 0.6172 1
O6 O 0.5744 0.6743 0.5875 1
O7 O 0.6530 0.2702 0.0975 1
O8 O 0.7298 0.8273 0.3828 1
```

electronic total energy = -86.4 eV/f.u.
energy relative to the lowest polymorph listed for this composition = 0 meV/atom